A geometry-optimized BaMg2AlCu structure. Source: Alexandria via LeMat-Bulk, functional GGA-PBE.

Energy relative to the elements ... -1.3 kcal/mol of atoms
D(E_F) ... 2.88 states/eV/cell
Calculated density ... 3.7 Mg/m³
Uncorrected energy ... -0.09729 Ha/atom

abc: 5.0974 5.0974 4.8380
angles: 90.00 90.00 90.00
Closest atoms and distances in Å follow each position.
Fractional coordinates of all 5 atoms:
Ba: 0.0000 0.0000 0.0000  8 Mg 3.51, 4 Al 3.60
Mg: 0.0000 0.5000 0.5000  2 Cu 2.55
Mg: 0.5000 0.0000 0.5000  2 Cu 2.55
Al: 0.5000 0.5000 0.0000  2 Cu 2.42
Cu: 0.5000 0.5000 0.5000  2 Al 2.42, 4 Mg 2.55